Record 1
## PrNbBrO4 (GGA-PBE)

Data for crystalline PrNbBrO4 at its relaxed geometry.

Total DFT energy (no corrections) ... -7.66 eV per atom

Cell lengths 7.178, 7.178, 7.217 Å; angles 102.25, 102.25, 55.74 degrees
Fractional positions:
Pr (0.209, 0.209, 0.339)
Pr (0.791, 0.791, 0.661)
Nb (0.127, 0.127, 0.753)
Nb (0.873, 0.873, 0.247)
Br (0.489, 0.489, 0.837)
Br (0.511, 0.511, 0.163)
O (0.022, 0.022, 0.285)
O (0.033, 0.608, 0.377)
O (0.192, 0.192, 0.012)
O (0.392, 0.967, 0.623)
O (0.608, 0.033, 0.377)
O (0.808, 0.808, 0.988)
O (0.967, 0.392, 0.623)
O (0.978, 0.978, 0.715)

Record 2
## Rb2NbBr6O (GGA-PBE)

Data for crystalline Rb2NbBr6O at its relaxed geometry.

D(E_F) ... 7.1 states/eV/cell
Total DFT energy (no corrections) ... -3.59 eV per atom

Cell lengths 7.705, 7.705, 7.705 Å; angles 116.80, 116.80, 95.64 degrees
Fractional positions:
Rb (0.250, 0.750, 0.500)
Rb (0.750, 0.250, 0.500)
Nb (0.000, 0.000, 0.000)
Br (0.227, 0.227, 0.455)
Br (0.227, 0.773, 0.000)
Br (0.247, 0.247, 0.000)
Br (0.753, 0.753, 0.000)
Br (0.773, 0.227, 0.000)
Br (0.773, 0.773, 0.545)
O (0.500, 0.500, 0.000)